[1]
First-principles (meta-GGA SCAN) data for a crystal of K2SnH6O6 relaxed with PBEsol, as listed in Alexandria via LeMat-Bulk.

abc: 6.7045 6.7045 11.7513
angles: 90.00 90.00 120.00
Last column: nearest neighbours and their distance in Å.
Space group R-3 (No. 148, hexagonal axes)
One atom of each set of equivalent atoms:
K (0.0000, 0.0000, 0.2003) [6 per cell]  6 H 2.69-2.93, 6 O 2.72-2.88
Sn (0.0000, 0.0000, 0.5000) [3 per cell]  6 O 2.08
H (0.0035, 0.5827, 0.3123) [18 per cell]  1 O 1.01
O (0.0440, 0.4782, 0.2684) [18 per cell]  1 H 1.01

Its total energy is -8.826 eV/atom. As for the total magnetic moment: 0.000 μB/f.u.



[2]
First-principles (meta-GGA SCAN) data for a crystal of K2TiHO relaxed with PBEsol, as listed in Alexandria via LeMat-Bulk.

abc: 4.7481 4.7481 4.0839
angles: 90.00 90.00 90.00
Last column: nearest neighbours and their distance in Å.
Space group P4/mmm (No. 123)
One atom of each set of equivalent atoms:
K (0.0000, 0.5000, 0.0000) [2 per cell]  2 H 2.37
Ti (0.0000, 0.0000, 0.5000) [1 per cell]  2 H 2.04
H (0.0000, 0.0000, 0.0000) [1 per cell]  2 Ti 2.04
O (0.5000, 0.5000, 0.5000) [1 per cell]  8 K 3.13, 4 Ti 3.36

Its total energy is -8.379 eV/atom. As for the total magnetic moment: 3.000 μB/f.u.



[3]
First-principles (meta-GGA SCAN) data for a crystal of K2HOs relaxed with PBEsol, as listed in Alexandria via LeMat-Bulk.

abc: 7.6781 7.6781 7.6781
angles: 90.00 90.00 90.00
Last column: nearest neighbours and their distance in Å.
Space group Fm-3m (No. 225)
One atom of each set of equivalent atoms:
K (0.2500, 0.2500, 0.2500) [8 per cell]  4 H 3.32, 4 Os 3.32
H (0.0000, 0.0000, 0.0000) [4 per cell]  8 K 3.32
Os (0.0000, 0.0000, 0.5000) [4 per cell]  8 K 3.32

Its total energy is -21.448 eV/atom. As for the total magnetic moment: 3.000 μB/f.u.



[4]
First-principles (meta-GGA SCAN) data for a crystal of KP2H relaxed with PBEsol, as listed in Alexandria via LeMat-Bulk.

abc: 5.6981 5.6981 8.5005
angles: 90.00 90.00 90.00
Last column: nearest neighbours and their distance in Å.
Space group I4_1/amd (No. 141, origin choice 2)
One atom of each set of equivalent atoms:
K (0.0000, 0.2500, 0.3750) [4 per cell]  12 P 3.36-3.49, 4 H 3.55, 4 K 3.55
P (0.0000, 0.0000, 0.0000) [8 per cell]  2 H 1.78
H (0.0000, 0.2500, 0.8750) [4 per cell]  4 P 1.78

Its total energy is -7.803 eV/atom. As for the total magnetic moment: 0.000 μB/f.u.



[5]
First-principles (meta-GGA SCAN) data for a crystal of KH3Pb relaxed with PBEsol, as listed in Alexandria via LeMat-Bulk.

abc: 4.4276 4.4276 4.4276
angles: 90.00 90.00 90.00
Last column: nearest neighbours and their distance in Å.
Space group Pm-3m (No. 221)
One atom of each set of equivalent atoms:
K (0.0000, 0.0000, 0.0000) [1 per cell]  12 H 3.13
H (0.0000, 0.5000, 0.5000) [3 per cell]  2 Pb 2.21
Pb (0.5000, 0.5000, 0.5000) [1 per cell]  6 H 2.21

Its total energy is -18.824 eV/atom. As for the total magnetic moment: 0.000 μB/f.u.



[6]
First-principles (meta-GGA SCAN) data for a crystal of K2H4Pd relaxed with PBEsol, as listed in Alexandria via LeMat-Bulk.

abc: 5.7013 5.7013 7.5044
angles: 90.00 90.00 90.00
Last column: nearest neighbours and their distance in Å.
Space group I4/mmm (No. 139)
One atom of each set of equivalent atoms:
K (0.0000, 0.5000, 0.2500) [4 per cell]  8 H 2.78
H (0.2042, 0.2042, 0.0000) [8 per cell]  1 Pd 1.65
Pd (0.0000, 0.0000, 0.0000) [2 per cell]  4 H 1.65

Its total energy is -9.411 eV/atom. As for the total magnetic moment: 0.052 μB/f.u.



[7]
First-principles (meta-GGA SCAN) data for a crystal of K3H3Pd relaxed with PBEsol, as listed in Alexandria via LeMat-Bulk.

abc: 10.5706 10.5706 10.0267
angles: 90.00 90.00 90.00
Last column: nearest neighbours and their distance in Å.
Space group P4_2/mnm (No. 136)
One atom of each set of equivalent atoms:
K (0.0040, 0.2516, 0.2109) [16 per cell]  4 H 2.65-2.93
K (0.2059, 0.2059, 0.5000) [4 per cell]  4 H 2.57-2.61
K (0.2067, 0.7933, 0.5000) [4 per cell]  5 H 2.62-2.71
H (0.0000, 0.0000, 0.3325) [4 per cell]  1 Pd 1.68
H (0.0003, 0.3427, 0.5000) [8 per cell]  1 Pd 1.66
H (0.1118, 0.1118, 0.0000) [4 per cell]  1 Pd 1.67
H (0.2450, 0.7550, 0.2452) [8 per cell]  6 K 2.57-2.69
Pd (0.0000, 0.0000, 0.0000) [2 per cell]  2 H 1.67
Pd (0.0000, 0.0000, 0.5000) [2 per cell]  2 H 1.68
Pd (0.0000, 0.5000, 0.0000) [4 per cell]  2 H 1.66

Its total energy is -10.041 eV/atom. As for the total magnetic moment: 0.000 μB/f.u.



[8]
First-principles (meta-GGA SCAN) data for a crystal of K2H6Pt relaxed with PBEsol, as listed in Alexandria via LeMat-Bulk.

abc: 7.9333 7.9333 7.9333
angles: 90.00 90.00 90.00
Last column: nearest neighbours and their distance in Å.
Space group Fm-3m (No. 225)
One atom of each set of equivalent atoms:
K (0.2500, 0.2500, 0.2500) [8 per cell]  12 H 2.82
H (0.0000, 0.0000, 0.2076) [24 per cell]  1 Pt 1.65
Pt (0.0000, 0.0000, 0.0000) [4 per cell]  6 H 1.65

Its total energy is -12.480 eV/atom. As for the total magnetic moment: 0.002 μB/f.u.